# 1
VASP calculation (PBE-GGA) on a relaxed structure of LiHfCuTe3.

Crystal system   monoclinic
Formation energy without anion corrections   -676.2 meV per atom
SG   P2_1/m, No. 11

abc: 4.017 8.421 10.080
angles: 108.20 90.00 90.00
Atoms (fractional coordinates):
Li: 0.750 0.876 0.672
Li: 0.250 0.124 0.328
Hf: 0.250 0.678 0.164
Hf: 0.750 0.322 0.836
Cu: 0.250 0.080 0.593
Cu: 0.750 0.920 0.407
Te: 0.250 0.742 0.461
Te: 0.750 0.921 0.146
Te: 0.750 0.424 0.145
Te: 0.750 0.258 0.539
Te: 0.250 0.576 0.855
Te: 0.250 0.079 0.854

***

# 2
VASP calculation (PBE-GGA) on a relaxed structure of Li2HfCuTe4.

Crystal system   monoclinic
Formation energy without anion corrections   -608.0 meV per atom
SG   P2/m, No. 10

abc: 4.007 7.347 7.341
angles: 110.95 90.00 90.00
Atoms (fractional coordinates):
Li: 0.500 0.000 0.500
Li: 0.000 0.500 0.500
Hf: 0.500 0.500 0.000
Cu: 0.000 0.000 0.000
Te: 0.500 0.221 0.204
Te: 0.500 0.779 0.796
Te: 0.000 0.272 0.735
Te: 0.000 0.728 0.265

***

# 3
VASP calculation (PBE-GGA) on a relaxed structure of Li2Hf2CuTe6.

Crystal system   monoclinic
Formation energy without anion corrections   -644.9 meV per atom
SG   C2/m, No. 12

abc: 7.091 7.091 7.413
angles: 98.69 98.69 121.81
Atoms (fractional coordinates):
Li: 0.831 0.169 0.000
Li: 0.169 0.831 0.000
Hf: 0.333 0.667 0.500
Hf: 0.667 0.333 0.500
Cu: 0.000 0.000 0.500
Te: 0.763 0.763 0.727
Te: 0.081 0.416 0.743
Te: 0.237 0.237 0.273
Te: 0.416 0.081 0.743
Te: 0.919 0.584 0.257
Te: 0.584 0.919 0.257

***

# 4
VASP calculation (PBE-GGA) on a relaxed structure of LiHfTlCu.

Crystal system   cubic
SG   F-43m, No. 216
Energy of formation from the pure elements   0.045 eV per atom

abc: 4.697 4.697 4.697
angles: 60.00 60.00 60.00
Atoms (fractional coordinates):
Tl: 0.750 0.750 0.750
Hf: 0.000 0.000 0.000
Cu: 0.250 0.250 0.250
Li: 0.500 0.500 0.500

***

So what do the calculations give for raw total energy? Going down the list: -4.9076 -4.4135 -4.8886 -4.5376 eV per atom.